1.
This record from Alexandria via LeMat-Bulk describes a relaxed Ho4BiPbC crystal. The functional is PBE.

Calculated values
Electronic total energy (eV/atom): -5.625

a b c (Å): 8.670 8.670 6.826
angles (deg): 90.00 90.00 133.61
Positions (direct):
Ho  0.000  0.500  0.000
Ho  0.000  0.500  0.500
Ho  0.095  0.905  0.750
Ho  0.403  0.597  0.750
Ho  0.500  0.000  0.000
Ho  0.500  0.000  0.500
Ho  0.597  0.403  0.250
Ho  0.905  0.095  0.250
Bi  0.395  0.605  0.250
Bi  0.605  0.395  0.750
Pb  0.106  0.894  0.250
Pb  0.894  0.106  0.750
C  0.250  0.750  0.750
C  0.750  0.250  0.250

=====

2.
This record from Alexandria via LeMat-Bulk describes a relaxed Pm2HoBiC crystal. The functional is PBE.

Calculated values
Electronic total energy (eV/atom): -5.927

a b c (Å): 5.102 5.102 4.880
angles (deg): 90.00 90.00 90.00
Positions (direct):
Pm  0.000  0.500  0.000
Pm  0.500  0.000  0.000
Ho  0.000  0.000  0.500
Bi  0.500  0.500  0.500
C  0.000  0.000  0.000

=====

3.
This record from Alexandria via LeMat-Bulk describes a relaxed Pm2Ho2Bi2C crystal. The functional is PBE.

Calculated values
Electronic total energy (eV/atom): -5.786

a b c (Å): 4.839 4.839 16.447
angles (deg): 90.00 90.00 90.00
Positions (direct):
Pm  0.000  0.000  0.157
Pm  0.000  0.000  0.843
Pm  0.500  0.500  0.343
Pm  0.500  0.500  0.657
Ho  0.000  0.500  0.000
Ho  0.000  0.500  0.500
Ho  0.500  0.000  0.000
Ho  0.500  0.000  0.500
Bi  0.000  0.000  0.360
Bi  0.000  0.000  0.640
Bi  0.500  0.500  0.140
Bi  0.500  0.500  0.860
C  0.000  0.000  0.000
C  0.500  0.500  0.500

=====

4.
This record from Alexandria via LeMat-Bulk describes a relaxed Pr2Ho2Bi2C crystal. The functional is PBE.

Calculated values
Electronic total energy (eV/atom): -5.807

a b c (Å): 4.844 4.844 16.697
angles (deg): 90.00 90.00 90.00
Positions (direct):
Pr  0.000  0.000  0.160
Pr  0.000  0.000  0.840
Pr  0.500  0.500  0.340
Pr  0.500  0.500  0.660
Ho  0.000  0.500  0.000
Ho  0.000  0.500  0.500
Ho  0.500  0.000  0.000
Ho  0.500  0.000  0.500
Bi  0.000  0.000  0.362
Bi  0.000  0.000  0.638
Bi  0.500  0.500  0.138
Bi  0.500  0.500  0.862
C  0.000  0.000  0.000
C  0.500  0.500  0.500

=====

5.
This record from Alexandria via LeMat-Bulk describes a relaxed Ho4BiSbC crystal. The functional is PBE.

Calculated values
Electronic total energy (eV/atom): -5.783
E_form (uncorrected) (eV/atom): -0.71

a b c (Å): 8.585 8.585 6.801
angles (deg): 90.00 90.00 133.42
Positions (direct):
Ho  0.000  0.500  0.000
Ho  0.000  0.500  0.500
Ho  0.094  0.906  0.750
Ho  0.403  0.597  0.750
Ho  0.500  0.000  0.000
Ho  0.500  0.000  0.500
Ho  0.597  0.403  0.250
Ho  0.906  0.094  0.250
Bi  0.395  0.605  0.250
Bi  0.605  0.395  0.750
Sb  0.109  0.891  0.250
Sb  0.891  0.109  0.750
C  0.249  0.751  0.750
C  0.751  0.249  0.250

=====

6.
This record from Alexandria via LeMat-Bulk describes a relaxed Ho8Bi4CSe3 crystal. The functional is PBE.

Calculated values
Electronic total energy (eV/atom): -5.546
E_form (uncorrected) (eV/atom): -1.06

a b c (Å): 8.495 8.495 8.495
angles (deg): 58.68 58.68 58.68
Positions (direct):
Ho  0.243  0.243  0.243
Ho  0.269  0.720  0.720
Ho  0.280  0.280  0.731
Ho  0.280  0.731  0.280
Ho  0.720  0.269  0.720
Ho  0.720  0.720  0.269
Ho  0.731  0.280  0.280
Ho  0.757  0.757  0.757
Bi  0.000  0.000  0.000
Bi  0.000  0.500  0.500
Bi  0.500  0.000  0.500
Bi  0.500  0.500  0.000
C  0.500  0.500  0.500
Se  0.000  0.000  0.500
Se  0.000  0.500  0.000
Se  0.500  0.000  0.000

=====

7.
This record from Alexandria via LeMat-Bulk describes a relaxed Ho4SiBiC crystal. The functional is PBE.

Calculated values
Electronic total energy (eV/atom): -5.837
E_form (uncorrected) (eV/atom): -0.57

a b c (Å): 8.412 8.412 6.721
angles (deg): 90.00 90.00 133.04
Positions (direct):
Ho  0.000  0.500  0.000
Ho  0.000  0.500  0.500
Ho  0.083  0.917  0.750
Ho  0.404  0.596  0.750
Ho  0.500  0.000  0.000
Ho  0.500  0.000  0.500
Ho  0.596  0.404  0.250
Ho  0.917  0.083  0.250
Si  0.115  0.885  0.250
Si  0.885  0.115  0.750
Bi  0.396  0.604  0.250
Bi  0.604  0.396  0.750
C  0.245  0.755  0.750
C  0.755  0.245  0.250

=====

8.
This record from Alexandria via LeMat-Bulk describes a relaxed Sm2HoBiC crystal. The functional is PBE.

Calculated values
Electronic total energy (eV/atom): -5.922

a b c (Å): 5.070 5.070 4.879
angles (deg): 90.00 90.00 90.00
Positions (direct):
Sm  0.000  0.500  0.000
Sm  0.500  0.000  0.000
Ho  0.000  0.000  0.500
Bi  0.500  0.500  0.500
C  0.000  0.000  0.000

=====

9.
This record from Alexandria via LeMat-Bulk describes a relaxed Tb2Ho2Bi2C crystal. The functional is PBE.

Calculated values
Electronic total energy (eV/atom): -5.718

a b c (Å): 4.835 4.835 16.079
angles (deg): 90.00 90.00 90.00
Positions (direct):
Tb  0.000  0.000  0.153
Tb  0.000  0.000  0.847
Tb  0.500  0.500  0.347
Tb  0.500  0.500  0.653
Ho  0.000  0.500  0.000
Ho  0.000  0.500  0.500
Ho  0.500  0.000  0.000
Ho  0.500  0.000  0.500
Bi  0.000  0.000  0.356
Bi  0.000  0.000  0.644
Bi  0.500  0.500  0.144
Bi  0.500  0.500  0.856
C  0.000  0.000  0.000
C  0.500  0.500  0.500

=====

10.
This record from Alexandria via LeMat-Bulk describes a relaxed Tb3HoBi2C crystal. The functional is PBE.

Calculated values
Electronic total energy (eV/atom): -5.715

a b c (Å): 4.837 4.884 16.082
angles (deg): 90.00 90.00 90.00
Positions (direct):
Tb  0.000  0.000  0.000
Tb  0.000  0.500  0.153
Tb  0.000  0.500  0.847
Tb  0.500  0.000  0.347
Tb  0.500  0.000  0.653
Tb  0.500  0.500  0.500
Ho  0.000  0.000  0.500
Ho  0.500  0.500  0.000
Bi  0.000  0.500  0.356
Bi  0.000  0.500  0.644
Bi  0.500  0.000  0.144
Bi  0.500  0.000  0.856
C  0.000  0.500  0.000
C  0.500  0.000  0.500

=====

11.
This record from Alexandria via LeMat-Bulk describes a relaxed Tb2HoBiC crystal. The functional is PBE.

Calculated values
Electronic total energy (eV/atom): -5.919

a b c (Å): 4.960 4.960 4.887
angles (deg): 90.00 90.00 90.00
Positions (direct):
Tb  0.000  0.500  0.000
Tb  0.500  0.000  0.000
Ho  0.000  0.000  0.500
Bi  0.500  0.500  0.500
C  0.000  0.000  0.000

=====

12.
This record from Alexandria via LeMat-Bulk describes a relaxed HoThBiC crystal. The functional is PBE.

Calculated values
Electronic total energy (eV/atom): -6.801

a b c (Å): 4.694 4.694 9.428
angles (deg): 90.00 90.00 90.00
Positions (direct):
Ho  0.250  0.750  0.000
Ho  0.750  0.250  0.000
Th  0.250  0.250  0.319
Th  0.750  0.750  0.681
Bi  0.250  0.250  0.694
Bi  0.750  0.750  0.306
C  0.250  0.250  0.082
C  0.750  0.750  0.918